# TmAg2BO4

A relaxed TmAg2BO4 crystal (PBE, Alexandria).

The space group is I-42m (121). The calculation puts the uncorrected formation energy at -1646 meV per atom. The total energy comes out at -99.7 eV/cell.

Cell lengths 5.9652, 5.9652, 5.4593 Å; angles 90.00, 90.00, 90.00 degrees
With the nearest neighbours (Å) after each atom.
Positions (direct):
Tm (0.0000, 0.0000, 0.0000)  4 O 2.21
Tm (0.5000, 0.5000, 0.5000)  4 O 2.21
Ag (0.0000, 0.5000, 0.0000)  4 O 2.46, 2 Ag 2.73
Ag (0.0000, 0.5000, 0.5000)  4 O 2.46, 2 Ag 2.73
Ag (0.5000, 0.0000, 0.0000)  4 O 2.46, 2 Ag 2.73
Ag (0.5000, 0.0000, 0.5000)  4 O 2.46, 2 Ag 2.73
B (0.0000, 0.0000, 0.5000)  4 O 1.51
B (0.5000, 0.5000, 0.0000)  4 O 1.51
O (0.1448, 0.1448, 0.3367)  1 B 1.51
O (0.1448, 0.8552, 0.6633)  1 B 1.51
O (0.3552, 0.3552, 0.8367)  1 B 1.51
O (0.3552, 0.6448, 0.1633)  1 B 1.51
O (0.6448, 0.3552, 0.1633)  1 B 1.51
O (0.6448, 0.6448, 0.8367)  1 B 1.51
O (0.8552, 0.1448, 0.6633)  1 B 1.51
O (0.8552, 0.8552, 0.3367)  1 B 1.51



# TmAg2B2O6

A relaxed TmAg2B2O6 crystal (PBE, Alexandria).

The space group is P-3 (147). The calculation puts the uncorrected formation energy at -1913 meV per atom. The total energy comes out at -74.3 eV/cell.

Cell lengths 5.3045, 5.3045, 6.1020 Å; angles 90.00, 90.00, 120.00 degrees
With the nearest neighbours (Å) after each atom.
Positions (direct):
Tm (0.0000, 0.0000, 0.0000)  6 O 2.24
Ag (0.3333, 0.6667, 0.2914)  3 O 2.27
Ag (0.6667, 0.3333, 0.7086)  3 O 2.27
B (0.3333, 0.6667, 0.7839)  3 O 1.38
B (0.6667, 0.3333, 0.2161)  3 O 1.38
O (0.1076, 0.3817, 0.7838)  1 B 1.38
O (0.2741, 0.8924, 0.7838)  1 B 1.38
O (0.3817, 0.2741, 0.2162)  1 B 1.38
O (0.6183, 0.7259, 0.7838)  1 B 1.38
O (0.7259, 0.1076, 0.2162)  1 B 1.38
O (0.8924, 0.6183, 0.2162)  1 B 1.38



# UAgBO6

A relaxed UAgBO6 crystal (PBE, Alexandria).

The space group is P1 (1). The calculation puts the uncorrected formation energy at -1787 meV per atom. The total energy comes out at -66.7 eV/cell.

Cell lengths 5.0370, 5.4234, 5.5254 Å; angles 118.40, 98.53, 93.85 degrees
With the nearest neighbours (Å) after each atom.
Positions (direct):
U (0.0000, 0.0000, 0.0000)  4 O 1.95-2.13
Ag (0.5190, 0.2933, 0.6477)  4 O 2.03-2.18
B (0.0836, 0.8680, 0.3838)  3 O 1.37-1.41
O (0.2087, 0.7558, 0.1506)  1 B 1.41
O (0.2345, 0.9786, 0.6569)  1 B 1.40
O (0.2618, 0.3170, 0.3227)  1 U 1.99, 1 Ag 2.11
O (0.7622, 0.6537, 0.7087)  1 U 1.95, 1 Ag 2.09
O (0.7824, 0.2739, 0.9506)  1 U 2.00, 1 Ag 2.03
O (0.8359, 0.9427, 0.3289)  1 B 1.37



# YAg2BO4

A relaxed YAg2BO4 crystal (PBE, Alexandria).

The space group is I-42m (121). The calculation puts the uncorrected formation energy at -1625 meV per atom. The total energy comes out at -103.3 eV/cell.

Cell lengths 5.9704, 5.9704, 5.5444 Å; angles 90.00, 90.00, 90.00 degrees
With the nearest neighbours (Å) after each atom.
Positions (direct):
Y (0.0000, 0.0000, 0.0000)  4 O 2.26
Y (0.5000, 0.5000, 0.5000)  4 O 2.26
Ag (0.0000, 0.5000, 0.0000)  4 O 2.45
Ag (0.0000, 0.5000, 0.5000)  4 O 2.45
Ag (0.5000, 0.0000, 0.0000)  4 O 2.45
Ag (0.5000, 0.0000, 0.5000)  4 O 2.45
B (0.0000, 0.0000, 0.5000)  4 O 1.51
B (0.5000, 0.5000, 0.0000)  4 O 1.51
O (0.1456, 0.1456, 0.3413)  1 B 1.51
O (0.1456, 0.8544, 0.6587)  1 B 1.51
O (0.3544, 0.3544, 0.8413)  1 B 1.51
O (0.3544, 0.6456, 0.1587)  1 B 1.51
O (0.6456, 0.3544, 0.1587)  1 B 1.51
O (0.6456, 0.6456, 0.8413)  1 B 1.51
O (0.8544, 0.1456, 0.6587)  1 B 1.51
O (0.8544, 0.8544, 0.3413)  1 B 1.51



# Zn2AgBO4

A relaxed Zn2AgBO4 crystal (PBE, Alexandria).

The space group is I-42m (121). The calculation puts the uncorrected formation energy at -1445 meV per atom. The total energy comes out at -86.9 eV/cell.

Cell lengths 4.8036, 4.8036, 7.5206 Å; angles 90.00, 90.00, 90.00 degrees
With the nearest neighbours (Å) after each atom.
Positions (direct):
Zn (0.0000, 0.5000, 0.2500)  4 O 2.03
Zn (0.0000, 0.5000, 0.7500)  4 O 2.03
Zn (0.5000, 0.0000, 0.2500)  4 O 2.03
Zn (0.5000, 0.0000, 0.7500)  4 O 2.03
Ag (0.0000, 0.0000, 0.0000)  4 O 2.36
Ag (0.5000, 0.5000, 0.5000)  4 O 2.36
B (0.0000, 0.0000, 0.5000)  4 O 1.50
B (0.5000, 0.5000, 0.0000)  4 O 1.50
O (0.1778, 0.1778, 0.6179)  1 B 1.50
O (0.1778, 0.8222, 0.3821)  1 B 1.50
O (0.3222, 0.3222, 0.1179)  1 B 1.50
O (0.3222, 0.6778, 0.8821)  1 B 1.50
O (0.6778, 0.3222, 0.8821)  1 B 1.50
O (0.6778, 0.6778, 0.1179)  1 B 1.50
O (0.8222, 0.1778, 0.3821)  1 B 1.50
O (0.8222, 0.8222, 0.6179)  1 B 1.50



# ZrAgB2O6

A relaxed ZrAgB2O6 crystal (PBE, Alexandria).

The space group is C2/c (15). The calculation puts the uncorrected formation energy at -2140 meV per atom. The total energy comes out at -151.8 eV/cell.

Cell lengths 6.2047, 6.2047, 6.6485 Å; angles 101.51, 101.51, 107.05 degrees
With the nearest neighbours (Å) after each atom.
Positions (direct):
Zr (0.0684, 0.9316, 0.7500)  6 O 2.08-2.21
Zr (0.9316, 0.0684, 0.2500)  6 O 2.08-2.21
Ag (0.4107, 0.5893, 0.2500)  2 O 2.19
Ag (0.5893, 0.4107, 0.7500)  2 O 2.19
B (0.0850, 0.4020, 0.7549)  3 O 1.36-1.40
B (0.4020, 0.0850, 0.2549)  3 O 1.36-1.40
B (0.5980, 0.9150, 0.7451)  3 O 1.36-1.40
B (0.9150, 0.5980, 0.2451)  3 O 1.36-1.40
O (0.0054, 0.5835, 0.7483)  1 B 1.36
O (0.0114, 0.8081, 0.4078)  1 B 1.40
O (0.1919, 0.9886, 0.0922)  1 B 1.40
O (0.2581, 0.3880, 0.9138)  1 B 1.38
O (0.3880, 0.2581, 0.4138)  1 B 1.38
O (0.4165, 0.9946, 0.7517)  1 B 1.36
O (0.5835, 0.0054, 0.2483)  1 B 1.36
O (0.6120, 0.7419, 0.5862)  1 B 1.38
O (0.7419, 0.6120, 0.0862)  1 B 1.38
O (0.8081, 0.0114, 0.9078)  1 B 1.40
O (0.9886, 0.1919, 0.5922)  1 B 1.40
O (0.9946, 0.4165, 0.2517)  1 B 1.36



# ZrAg2B2O6

A relaxed ZrAg2B2O6 crystal (PBE, Alexandria).

The space group is C2/m (12). The calculation puts the uncorrected formation energy at -1973 meV per atom. The total energy comes out at -79.1 eV/cell.

Cell lengths 5.2995, 5.2995, 6.7744 Å; angles 118.78, 118.78, 60.35 degrees
With the nearest neighbours (Å) after each atom.
Positions (direct):
Zr (0.0000, 0.0000, 0.0000)  6 O 2.08-2.13
Ag (0.1873, 0.1873, 0.6215)  4 O 2.57-2.60, 1 Ag 2.86
Ag (0.8127, 0.8127, 0.3785)  4 O 2.57-2.60, 1 Ag 2.86
B (0.4355, 0.4355, 0.2205)  3 O 1.36-1.39
B (0.5645, 0.5645, 0.7795)  3 O 1.36-1.39
O (0.2547, 0.7012, 0.7585)  1 B 1.39
O (0.2729, 0.2729, 0.1829)  1 B 1.36
O (0.2988, 0.7453, 0.2415)  1 B 1.39
O (0.7012, 0.2547, 0.7585)  1 B 1.39
O (0.7271, 0.7271, 0.8171)  1 B 1.36
O (0.7453, 0.2988, 0.2415)  1 B 1.39



# Ag3BOs

A relaxed Ag3BOs crystal (PBE, Alexandria).

The space group is Pm-3m (221). As for the formation energy: 2.364 eV per atom. The total energy comes out at -14.6 eV/cell. The energy above the most stable polymorph in this dataset is 26.63 kcal/mol of atoms.

Cell lengths 5.1091, 5.1091, 5.1091 Å; angles 90.00, 90.00, 90.00 degrees
With the nearest neighbours (Å) after each atom.
Positions (direct):
Ag (0.0000, 0.0000, 0.5000)  2 Os 2.55
Ag (0.0000, 0.5000, 0.0000)  2 Os 2.55
Ag (0.5000, 0.0000, 0.0000)  2 Os 2.55
B (0.5000, 0.5000, 0.5000)  12 Ag 3.61
Os (0.0000, 0.0000, 0.0000)  6 Ag 2.55